First-principles (PBE) data for an optimized crystal structure of Ti2ReRuPb, as listed in the Alexandria database.

Structure (CIF):
```
data_Ti2ReRuPb
_symmetry_space_group_name_H-M 'P 1'
_symmetry_Int_Tables_number 1
_cell_length_a 4.777
_cell_length_b 4.728
_cell_length_c 4.777
_cell_angle_alpha 90.00
_cell_angle_beta 90.00
_cell_angle_gamma 90.00
loop_
_symmetry_equiv_pos_as_xyz
'x,y,z'
loop_
_atom_site_label
_atom_site_type_symbol
_atom_site_fract_x
_atom_site_fract_y
_atom_site_fract_z
Ti1 Ti 0.000 0.000 0.500
Ti2 Ti 0.500 0.000 0.000
Ru1 Ru 0.000 0.500 0.000
Pb1 Pb 0.500 0.500 0.500
Re1 Re 0.000 0.000 0.000
```

* energy: -0.2778 Ha/atom
* magnetization: 0.00 μB per formula unit
* DFT formation energy: 686 meV per atom